[1]
A plane-wave DFT calculation with GGA-PBE was carried out for crystalline CuPt3S at its relaxed geometry.

* distance to the lowest polymorph of the same formula: 0.843 eV/atom
* mass density: 11.7 g/cm3
* DOS at the Fermi energy: 1.373 states/eV per atom
* total magnetization: 0.0 μB per cell
* energy relative to the elements, uncorrected: 1280 meV/atom

Cell lengths 4.587, 4.587, 4.587 Å; angles 90.00, 90.00, 90.00 degrees
Fractional coordinates of all 5 atoms:
Pt 0.000 0.500 0.000
Pt 0.500 0.000 0.000
Pt 0.000 0.000 0.500
Cu 0.000 0.000 0.000
S 0.500 0.500 0.500



[2]
A plane-wave DFT calculation with GGA-PBE was carried out for crystalline K2Zr2In at its relaxed geometry.

* distance to the lowest polymorph of the same formula: 0.000 eV/atom
* mass density: 3.9 g/cm3
* DOS at the Fermi energy: 1.625 states/eV per atom
* total magnetization: 0.0 μB per cell

Cell lengths 4.303, 4.303, 9.065 Å; angles 76.27, 76.27, 90.00 degrees
Fractional coordinates of all 5 atoms:
Zr 0.571 0.571 0.859
Zr 0.429 0.429 0.141
In 0.000 0.000 0.000
K 0.250 0.750 0.500
K 0.750 0.250 0.500



Look up the DOS at the Fermi energy of the first one. 1.373 states/eV per atom



Number 2 is which compound? K2Zr2In



Among the records above, which one has the highest distance to the lowest polymorph of the same formula? CuPt3S